## Ni2PtPb (PBE-GGA)

Data for a relaxed structure of Ni2PtPb.

The structure in CIF format:
```
data_Ni2PtPb
_cell_length_a 4.4402
_cell_length_b 4.4402
_cell_length_c 4.4402
_cell_angle_alpha 60.00
_cell_angle_beta 60.00
_cell_angle_gamma 60.00
_symmetry_space_group_name_H-M 'P 1'
_symmetry_Int_Tables_number 1
loop_
_symmetry_equiv_pos_as_xyz
'x,y,z'
loop_
_atom_site_label
_atom_site_fract_x
_atom_site_fract_y
_atom_site_fract_z
_atom_site_occupancy
Ni1 0.2500 0.2500 0.2500 1
Ni2 0.0000 0.0000 0.0000 1
Pt1 0.7500 0.7500 0.7500 1
Pb1 0.5000 0.5000 0.5000 1
```

- calculated total energy (eV/cell) = -20.7
- mass density (g/cm3) = 13.941
- DOS at the Fermi energy (states/eV/cell) = 2.4
- DFT formation energy (meV/atom) = 152
- SG = F-43m (216)

## NiPtPb2 (PBE-GGA)

Data for a relaxed structure of NiPtPb2.

The structure in CIF format:
```
data_NiPtPb2
_cell_length_a 3.3711
_cell_length_b 3.3712
_cell_length_c 7.7059
_cell_angle_alpha 90.00
_cell_angle_beta 90.00
_cell_angle_gamma 90.00
_symmetry_space_group_name_H-M 'P 1'
_symmetry_Int_Tables_number 1
loop_
_symmetry_equiv_pos_as_xyz
'x,y,z'
loop_
_atom_site_label
_atom_site_fract_x
_atom_site_fract_y
_atom_site_fract_z
_atom_site_occupancy
Ni1 0.5000 0.5000 0.7111 1
Pt1 0.0000 0.0000 0.5462 1
Pb1 0.5000 0.5000 0.3255 1
Pb2 0.0000 0.0000 0.9172 1
```

- calculated total energy (eV/cell) = -19.2
- mass density (g/cm3) = 12.669
- DOS at the Fermi energy (states/eV/cell) = 2.5
- DFT formation energy (meV/atom) = 11
- SG = P4mm (99)

## Ni2PtPb (PBE-GGA)

Data for a relaxed structure of Ni2PtPb.

The structure in CIF format:
```
data_Ni2PtPb
_cell_length_a 4.8133
_cell_length_b 4.8133
_cell_length_c 3.9360
_cell_angle_alpha 65.81
_cell_angle_beta 65.81
_cell_angle_gamma 48.28
_symmetry_space_group_name_H-M 'P 1'
_symmetry_Int_Tables_number 1
loop_
_symmetry_equiv_pos_as_xyz
'x,y,z'
loop_
_atom_site_label
_atom_site_fract_x
_atom_site_fract_y
_atom_site_fract_z
_atom_site_occupancy
Ni1 0.0000 0.0000 0.0001 1
Ni2 0.7500 0.7500 0.7499 1
Pb1 0.5000 0.5000 0.4998 1
Pt1 0.2500 0.2500 0.2502 1
```

- calculated total energy (eV/cell) = -21.0
- mass density (g/cm3) = 14.190
- DOS at the Fermi energy (states/eV/cell) = 3.6
- DFT formation energy (meV/atom) = 76
- SG = I-4m2 (119)

## NiPtPb2 (PBE-GGA)

Data for a relaxed structure of NiPtPb2.

The structure in CIF format:
```
data_NiPtPb2
_cell_length_a 4.6087
_cell_length_b 5.1003
_cell_length_c 3.4868
_cell_angle_alpha 90.00
_cell_angle_beta 90.00
_cell_angle_gamma 90.00
_symmetry_space_group_name_H-M 'P 1'
_symmetry_Int_Tables_number 1
loop_
_symmetry_equiv_pos_as_xyz
'x,y,z'
loop_
_atom_site_label
_atom_site_fract_x
_atom_site_fract_y
_atom_site_fract_z
_atom_site_occupancy
Pb1 0.0000 0.0000 0.0000 1
Pb2 0.5000 0.5000 0.0000 1
Pt1 0.5000 0.0000 0.5000 1
Ni1 0.0000 0.5000 0.5000 1
```

- calculated total energy (eV/cell) = -18.5
- mass density (g/cm3) = 13.538
- DOS at the Fermi energy (states/eV/cell) = 2.8
- DFT formation energy (meV/atom) = 184
- SG = Pmmm (47)

## Ni2PtPb (PBE-GGA)

Data for a relaxed structure of Ni2PtPb.

The structure in CIF format:
```
data_Ni2PtPb
_cell_length_a 6.8126
_cell_length_b 4.0283
_cell_length_c 3.7400
_cell_angle_alpha 90.00
_cell_angle_beta 56.70
_cell_angle_gamma 126.21
_symmetry_space_group_name_H-M 'P 1'
_symmetry_Int_Tables_number 1
loop_
_symmetry_equiv_pos_as_xyz
'x,y,z'
loop_
_atom_site_label
_atom_site_fract_x
_atom_site_fract_y
_atom_site_fract_z
_atom_site_occupancy
Ni1 0.5000 0.0000 0.5000 1
Ni2 0.0000 0.0000 0.0000 1
Pt1 0.5000 0.5000 0.0000 1
Pb1 0.0000 0.5000 0.5000 1
```

- calculated total energy (eV/cell) = -21.2
- mass density (g/cm3) = 14.218
- DOS at the Fermi energy (states/eV/cell) = 2.2
- DFT formation energy (meV/atom) = 20
- SG = P4/mmm (123)

## Ni2PtPb (PBE-GGA)

Data for a relaxed structure of Ni2PtPb.

The structure in CIF format:
```
data_Ni2PtPb
_cell_length_a 3.2744
_cell_length_b 3.3655
_cell_length_c 5.6948
_cell_angle_alpha 90.00
_cell_angle_beta 90.00
_cell_angle_gamma 90.00
_symmetry_space_group_name_H-M 'P 1'
_symmetry_Int_Tables_number 1
loop_
_symmetry_equiv_pos_as_xyz
'x,y,z'
loop_
_atom_site_label
_atom_site_fract_x
_atom_site_fract_y
_atom_site_fract_z
_atom_site_occupancy
Pb1 0.0000 0.0000 0.4835 1
Ni1 0.0000 0.0000 0.0110 1
Ni2 0.5000 0.5000 0.2219 1
Pt1 0.5000 0.5000 0.7836 1
```

- calculated total energy (eV/cell) = -20.6
- mass density (g/cm3) = 13.751
- DOS at the Fermi energy (states/eV/cell) = 4.7
- DFT formation energy (meV/atom) = 171
- SG = Pmm2 (25)

## NiPtPb2 (PBE-GGA)

Data for a relaxed structure of NiPtPb2.

The structure in CIF format:
```
data_NiPtPb2
_cell_length_a 4.0103
_cell_length_b 4.0103
_cell_length_c 6.7107
_cell_angle_alpha 72.85
_cell_angle_beta 72.85
_cell_angle_gamma 59.00
_symmetry_space_group_name_H-M 'P 1'
_symmetry_Int_Tables_number 1
loop_
_symmetry_equiv_pos_as_xyz
'x,y,z'
loop_
_atom_site_label
_atom_site_fract_x
_atom_site_fract_y
_atom_site_fract_z
_atom_site_occupancy
Pt1 0.7500 0.7500 0.7500 1
Pb1 0.9953 0.9953 0.0136 1
Pb2 0.5047 0.5047 0.4864 1
Ni1 0.2500 0.2500 0.2500 1
```

- calculated total energy (eV/cell) = -18.6
- mass density (g/cm3) = 12.748
- DOS at the Fermi energy (states/eV/cell) = 1.9
- DFT formation energy (meV/atom) = 150
- SG = C2/m (12)

## NiPtPb2 (PBE-GGA)

Data for a relaxed structure of NiPtPb2.

The structure in CIF format:
```
data_NiPtPb2
_cell_length_a 4.9032
_cell_length_b 4.9032
_cell_length_c 4.9032
_cell_angle_alpha 60.00
_cell_angle_beta 60.00
_cell_angle_gamma 60.00
_symmetry_space_group_name_H-M 'P 1'
_symmetry_Int_Tables_number 1
loop_
_symmetry_equiv_pos_as_xyz
'x,y,z'
loop_
_atom_site_label
_atom_site_fract_x
_atom_site_fract_y
_atom_site_fract_z
_atom_site_occupancy
Ni1 0.5000 0.5000 0.5000 1
Pb1 0.0000 0.0000 0.0000 1
Pb2 0.7500 0.7500 0.7500 1
Pt1 0.2500 0.2500 0.2500 1
```

- calculated total energy (eV/cell) = -17.8
- mass density (g/cm3) = 13.311
- DOS at the Fermi energy (states/eV/cell) = 3.0
- DFT formation energy (meV/atom) = 371
- SG = F-43m (216)

## NiPtPb2 (PBE-GGA)

Data for a relaxed structure of NiPtPb2.

The structure in CIF format:
```
data_NiPtPb2
_cell_length_a 4.6125
_cell_length_b 4.6125
_cell_length_c 9.2459
_cell_angle_alpha 75.56
_cell_angle_beta 75.56
_cell_angle_gamma 90.00
_symmetry_space_group_name_H-M 'P 1'
_symmetry_Int_Tables_number 1
loop_
_symmetry_equiv_pos_as_xyz
'x,y,z'
loop_
_atom_site_label
_atom_site_fract_x
_atom_site_fract_y
_atom_site_fract_z
_atom_site_occupancy
Pt1 0.0000 0.0000 0.0000 1
Pt2 0.7500 0.2500 0.5000 1
Pb1 0.3750 0.3909 0.7500 1
Pb2 0.8750 0.8591 0.7500 1
Pb3 0.1409 0.6250 0.2500 1
Pb4 0.6091 0.1250 0.2500 1
Ni1 0.5000 0.5000 0.0000 1
Ni2 0.2500 0.7500 0.5000 1
```

- calculated total energy (eV/cell) = -36.0
- mass density (g/cm3) = 12.056
- DOS at the Fermi energy (states/eV/cell) = 4.9
- DFT formation energy (meV/atom) = 310
- SG = I-42d (122)

## NiPtPb2 (PBE-GGA)

Data for a relaxed structure of NiPtPb2.

The structure in CIF format:
```
data_NiPtPb2
_cell_length_a 4.0064
_cell_length_b 3.8379
_cell_length_c 5.7023
_cell_angle_alpha 70.14
_cell_angle_beta 90.00
_cell_angle_gamma 90.00
_symmetry_space_group_name_H-M 'P 1'
_symmetry_Int_Tables_number 1
loop_
_symmetry_equiv_pos_as_xyz
'x,y,z'
loop_
_atom_site_label
_atom_site_fract_x
_atom_site_fract_y
_atom_site_fract_z
_atom_site_occupancy
Pb1 0.5000 0.2763 0.3186 1
Pb2 0.0000 0.9853 0.9070 1
Ni1 0.5000 0.5420 0.7949 1
Pt1 0.0000 0.6964 0.4795 1
```

- calculated total energy (eV/cell) = -19.4
- mass density (g/cm3) = 13.455
- DOS at the Fermi energy (states/eV/cell) = 2.5
- DFT formation energy (meV/atom) = -34
- SG = Pm (6)

## Ni4PtPb (PBE-GGA)

Data for a relaxed structure of Ni4PtPb.

The structure in CIF format:
```
data_Ni4PtPb
_cell_length_a 4.8798
_cell_length_b 4.8798
_cell_length_c 4.8798
_cell_angle_alpha 60.00
_cell_angle_beta 60.00
_cell_angle_gamma 60.00
_symmetry_space_group_name_H-M 'P 1'
_symmetry_Int_Tables_number 1
loop_
_symmetry_equiv_pos_as_xyz
'x,y,z'
loop_
_atom_site_label
_atom_site_fract_x
_atom_site_fract_y
_atom_site_fract_z
_atom_site_occupancy
Ni1 0.6258 0.1225 0.6258 1
Ni2 0.6258 0.6258 0.1225 1
Ni3 0.6258 0.6258 0.6258 1
Ni4 0.1225 0.6258 0.6258 1
Pb1 0.2500 0.2500 0.2500 1
Pt1 0.0000 0.0000 0.0000 1
```

- calculated total energy (eV/cell) = -32.1
- mass density (g/cm3) = 12.875
- DOS at the Fermi energy (states/eV/cell) = 7.1
- DFT formation energy (meV/atom) = 128
- SG = F-43m (216)

## NiPtPb2 (PBE-GGA)

Data for a relaxed structure of NiPtPb2.

The structure in CIF format:
```
data_NiPtPb2
_cell_length_a 6.5803
_cell_length_b 6.5803
_cell_length_c 6.5803
_cell_angle_alpha 151.25
_cell_angle_beta 141.82
_cell_angle_gamma 48.48
_symmetry_space_group_name_H-M 'P 1'
_symmetry_Int_Tables_number 1
loop_
_symmetry_equiv_pos_as_xyz
'x,y,z'
loop_
_atom_site_label
_atom_site_fract_x
_atom_site_fract_y
_atom_site_fract_z
_atom_site_occupancy
Pb1 0.7692 0.2692 0.5000 1
Pb2 0.0436 0.0436 0.0000 1
Pt1 0.4320 0.4320 0.0000 1
Ni1 0.2552 0.7552 0.5000 1
```

- calculated total energy (eV/cell) = -18.9
- mass density (g/cm3) = 13.150
- DOS at the Fermi energy (states/eV/cell) = 2.5
- DFT formation energy (meV/atom) = 91
- SG = Imm2 (44)

Q: Which value of DOS at the Fermi energy does entry 11 give?
A: 7.1 states/eV/cell